{"formula": "YHoB2Ir2N2", "functional": "PBE", "state": "optimized geometry", "energy_ev_per_atom": -8.4973, "spacegroup": "P4mm", "lattice": [[3.745, 0.000, 0.000], [0.000, 3.745, 0.000], [0.000, 0.000, 7.429]], "species": ["Y", "Ho", "B", "B", "Ir", "Ir", "N", "N"], "frac_coords": [[0.000, 0.000, 0.000], [0.500, 0.500, 0.324], [0.000, 0.000, 0.506], [0.500, 0.500, 0.819], [0.000, 0.500, 0.662], [0.500, 0.000, 0.662], [0.000, 0.000, 0.305], [0.500, 0.500, 0.020]]}

=====

{"formula": "Ho2NiB4Ir4", "functional": "PBE", "state": "optimized geometry", "energy_ev_per_atom": -7.6682, "spacegroup": "Fmmm", "lattice": [[0.000, 4.673, 5.683], [2.747, 0.000, 5.683], [2.747, 4.673, 0.000]], "species": ["Ho", "Ho", "Ni", "B", "B", "B", "B", "Ir", "Ir", "Ir", "Ir"], "frac_coords": [[0.139, 0.139, 0.861], [0.861, 0.861, 0.139], [0.500, 0.500, 0.500], [0.221, 0.513, 0.487], [0.487, 0.779, 0.221], [0.513, 0.221, 0.779], [0.779, 0.487, 0.513], [0.000, 0.000, 0.500], [0.250, 0.250, 0.250], [0.500, 0.500, 0.000], [0.750, 0.750, 0.750]]}

=====

{"formula": "TbHoB2Ir2O2", "functional": "PBE", "state": "optimized geometry", "energy_ev_per_atom": -7.9134, "spacegroup": "P4mm", "lattice": [[3.821, 0.000, 0.000], [0.000, 3.821, 0.000], [0.000, 0.000, 7.225]], "species": ["Tb", "Ho", "B", "B", "Ir", "Ir", "O", "O"], "frac_coords": [[0.000, 0.000, 0.000], [0.500, 0.500, 0.371], [0.000, 0.000, 0.531], [0.500, 0.500, 0.839], [0.000, 0.500, 0.684], [0.500, 0.000, 0.684], [0.000, 0.000, 0.320], [0.500, 0.500, 0.051]]}

=====

{"formula": "SmHoB2P2Ir2", "functional": "PBE", "state": "optimized geometry", "energy_ev_per_atom": -7.3441, "spacegroup": "P4mm", "lattice": [[3.956, 0.000, 0.000], [0.000, 3.956, 0.000], [0.000, 0.000, 8.347]], "species": ["Sm", "Ho", "B", "B", "P", "P", "Ir", "Ir"], "frac_coords": [[0.000, 0.000, 0.000], [0.500, 0.500, 0.389], [0.000, 0.000, 0.584], [0.500, 0.500, 0.810], [0.000, 0.000, 0.347], [0.500, 0.500, 0.051], [0.000, 0.500, 0.695], [0.500, 0.000, 0.695]]}

=====

{"formula": "YHoB2P2Ir2", "functional": "PBE", "state": "optimized geometry", "energy_ev_per_atom": -7.5693, "spacegroup": "P4mm", "lattice": [[3.932, 0.000, 0.000], [0.000, 3.932, 0.000], [0.000, 0.000, 8.336]], "species": ["Y", "Ho", "B", "B", "P", "P", "Ir", "Ir"], "frac_coords": [[0.000, 0.000, 0.000], [0.500, 0.500, 0.389], [0.000, 0.000, 0.580], [0.500, 0.500, 0.809], [0.000, 0.000, 0.341], [0.500, 0.500, 0.048], [0.000, 0.500, 0.694], [0.500, 0.000, 0.694]]}

=====

{"formula": "LaHoB4", "functional": "PBE", "state": "optimized geometry", "polymorph_energy_ev_per_fu": 0.42, "spacegroup": "Immm", "lattice": [[-1.649, 2.867, 4.087], [1.649, -2.867, 4.087], [1.649, 2.867, -4.087]], "species": ["La", "Ho", "B", "B", "B", "B"], "frac_coords": [[0.000, 0.000, 0.000], [0.500, 0.500, 0.000], [0.087, 0.753, 0.334], [0.419, 0.753, 0.666], [0.581, 0.247, 0.334], [0.913, 0.247, 0.666]]}

=====

{"formula": "LaHoB4", "functional": "PBE", "state": "optimized geometry", "polymorph_energy_ev_per_fu": 0.00, "spacegroup": "P6/mmm", "lattice": [[3.282, 0.000, 0.000], [-1.641, 2.842, 0.000], [0.000, 0.000, 8.200]], "species": ["La", "Ho", "B", "B", "B", "B"], "frac_coords": [[0.000, 0.000, 0.000], [0.000, 0.000, 0.500], [0.333, 0.667, 0.269], [0.333, 0.667, 0.731], [0.667, 0.333, 0.269], [0.667, 0.333, 0.731]]}

=====

{"formula": "LaHoB", "functional": "PBE", "state": "optimized geometry", "polymorph_energy_ev_per_fu": 0.00, "spacegroup": "F-43m", "lattice": [[0.000, 3.277, 3.277], [3.277, 0.000, 3.277], [3.277, 3.277, 0.000]], "species": ["La", "Ho", "B"], "frac_coords": [[0.000, 0.000, 0.000], [0.500, 0.500, 0.500], [0.750, 0.750, 0.750]]}

=====

{"formula": "La2HoNi2B2N3", "functional": "PBE", "state": "optimized geometry", "energy_ev_per_atom": -7.4654, "spacegroup": "I4/mmm", "lattice": [[-1.840, 1.840, 9.850], [1.840, -1.840, 9.850], [1.840, 1.840, -9.850]], "species": ["La", "La", "Ho", "Ni", "Ni", "B", "B", "N", "N", "N"], "frac_coords": [[0.127, 0.127, 0.000], [0.873, 0.873, 0.000], [0.500, 0.500, 0.000], [0.250, 0.750, 0.500], [0.750, 0.250, 0.500], [0.306, 0.306, 0.000], [0.694, 0.694, 0.000], [0.000, 0.000, 0.000], [0.379, 0.379, 0.000], [0.621, 0.621, 0.000]]}

=====

{"formula": "LaHoNi8B2", "functional": "PBE", "state": "optimized geometry", "polymorph_energy_ev_per_fu": 0.62, "spacegroup": "P6/mmm", "lattice": [[5.051, 0.000, 0.000], [-2.525, 4.374, 0.000], [0.000, 0.000, 6.982]], "species": ["La", "Ho", "Ni", "Ni", "Ni", "Ni", "Ni", "Ni", "Ni", "Ni", "B", "B"], "frac_coords": [[0.000, 0.000, 0.000], [0.000, 0.000, 0.500], [0.000, 0.500, 0.210], [0.000, 0.500, 0.790], [0.333, 0.667, 0.500], [0.500, 0.000, 0.210], [0.500, 0.000, 0.790], [0.500, 0.500, 0.210], [0.500, 0.500, 0.790], [0.667, 0.333, 0.500], [0.333, 0.667, 0.000], [0.667, 0.333, 0.000]]}

=====

{"formula": "LaHoNi8B2", "functional": "PBE", "state": "optimized geometry", "polymorph_energy_ev_per_fu": 0.00, "spacegroup": "P6/mmm", "lattice": [[5.027, 0.000, 0.000], [-2.514, 4.354, 0.000], [0.000, 0.000, 7.023]], "species": ["La", "Ho", "Ni", "Ni", "Ni", "Ni", "Ni", "Ni", "Ni", "Ni", "B", "B"], "frac_coords": [[0.000, 0.000, 0.000], [0.000, 0.000, 0.500], [0.000, 0.500, 0.297], [0.000, 0.500, 0.703], [0.333, 0.667, 0.000], [0.500, 0.000, 0.297], [0.500, 0.000, 0.703], [0.500, 0.500, 0.297], [0.500, 0.500, 0.703], [0.667, 0.333, 0.000], [0.333, 0.667, 0.500], [0.667, 0.333, 0.500]]}

=====

{"formula": "LiHoB", "functional": "PBE", "state": "optimized geometry", "polymorph_energy_ev_per_fu": 1.14, "spacegroup": "F-43m", "lattice": [[0.000, 2.873, 2.873], [2.873, 0.000, 2.873], [2.873, 2.873, 0.000]], "species": ["Li", "Ho", "B"], "frac_coords": [[0.000, 0.000, 0.000], [0.250, 0.250, 0.250], [0.750, 0.750, 0.750]]}

=====

Here are the calculated total magnetic moment numbers, same order: 0.0; 0.0; 0.0; 0.0; 0.0; 0.0; 0.0; 0.4; 0.0; 0.0; 0.0; 0.0 (μB/cell).